Entry 1:
The following is a DFT calculation (PBE-GGA) of crystalline Ce3ThAu7 at its relaxed geometry.

Cell lengths 3.826, 22.633, 12.753 Å; angles 90.00, 90.00, 90.00 degrees
Space group Cmcm (No. 63)
Inequivalent atoms, fractional coordinates:
Ce1 0.000 0.143 0.063 (multiplicity 8)
Ce2 0.000 0.198 0.750 (multiplicity 4)
Th1 0.000 0.010 0.750 (multiplicity 4)
Au1 0.000 0.278 0.068 (multiplicity 8)
Au2 0.000 0.380 0.750 (multiplicity 4)
Au3 0.000 0.400 0.134 (multiplicity 8)
Au4 0.000 0.463 0.580 (multiplicity 8)

Output
Mass density ... 12.21 g cm⁻³
Magnetic moment ... 10.75 μB/cell
Energy relative to the elements ... -6.492 eV per formula unit
Total DFT energy (no corrections) ... -4.97 eV/atom



Entry 2:
The following is a DFT calculation (PBE-GGA) of crystalline CeTh4Au at its relaxed geometry.

Cell lengths 3.589, 3.589, 13.786 Å; angles 90.00, 90.00, 90.00 degrees
Space group P4/mmm (No. 123)
Inequivalent atoms, fractional coordinates:
Ce1 0.000 0.000 0.000 (multiplicity 1)
Th1 0.000 0.000 0.356 (multiplicity 2)
Th2 0.500 0.500 0.173 (multiplicity 2)
Au1 0.500 0.500 0.500 (multiplicity 1)

Output
Mass density ... 11.83 g cm⁻³
Magnetic moment ... 0.00 μB/cell
Energy relative to the elements ... -1.096 eV per formula unit
Total DFT energy (no corrections) ... -6.66 eV/atom



Entry 3:
The following is a DFT calculation (PBE-GGA) of crystalline CeTh3Au4 at its relaxed geometry.

Cell lengths 3.691, 3.691, 15.052 Å; angles 90.00, 90.00, 90.00 degrees
Space group P4/mmm (No. 123)
Inequivalent atoms, fractional coordinates:
Ce1 0.000 0.000 0.000 (multiplicity 1)
Th1 0.000 0.000 0.249 (multiplicity 2)
Th2 0.000 0.000 0.500 (multiplicity 1)
Au1 0.500 0.500 0.123 (multiplicity 2)
Au2 0.500 0.500 0.374 (multiplicity 2)

Output
Mass density ... 13.15 g cm⁻³
Magnetic moment ... 0.99 μB/cell
Energy relative to the elements ... -4.512 eV per formula unit
Total DFT energy (no corrections) ... -5.73 eV/atom



Entry 4:
The following is a DFT calculation (PBE-GGA) of crystalline CeThAu4 at its relaxed geometry.

Cell lengths 3.878, 3.878, 9.327 Å; angles 90.00, 90.00, 90.00 degrees
Space group P4/mmm (No. 123)
Inequivalent atoms, fractional coordinates:
Ce1 0.000 0.000 0.000 (multiplicity 1)
Th1 0.500 0.500 0.500 (multiplicity 1)
Au1 0.000 0.000 0.333 (multiplicity 2)
Au2 0.500 0.500 0.166 (multiplicity 2)

Output
Mass density ... 13.73 g cm⁻³
Magnetic moment ... 0.76 μB/cell
Energy relative to the elements ... -3.974 eV per formula unit
Excess energy over the best structure of this formula in the dataset ... 0.096 eV/atom
Total DFT energy (no corrections) ... -5.07 eV/atom



Entry 5:
The following is a DFT calculation (PBE-GGA) of crystalline CeTh2Au8 at its relaxed geometry.

Cell lengths 8.121, 15.425, 5.237 Å; angles 90.00, 130.00, 90.00 degrees
Space group C2/m (No. 12)
Inequivalent atoms, fractional coordinates:
Ce1 0.000 0.000 0.000 (multiplicity 2)
Th1 0.000 0.316 0.500 (multiplicity 4)
Au1 0.000 0.201 0.000 (multiplicity 4)
Au2 0.000 0.500 0.250 (multiplicity 4)
Au3 0.226 0.134 0.727 (multiplicity 8)

Output
Mass density ... 14.41 g cm⁻³
Magnetic moment ... 2.46 μB/cell
Energy relative to the elements ... -6.900 eV per formula unit
Total DFT energy (no corrections) ... -4.90 eV/atom



Entry 6:
The following is a DFT calculation (PBE-GGA) of crystalline Ce3ThAu4 at its relaxed geometry.

Cell lengths 10.498, 7.324, 5.260 Å; angles 90.00, 90.00, 90.00 degrees
Space group Pmma (No. 51)
Inequivalent atoms, fractional coordinates:
Ce1 0.000 0.000 0.000 (multiplicity 2)
Ce2 0.250 0.000 0.483 (multiplicity 2)
Ce3 0.250 0.500 0.482 (multiplicity 2)
Th1 0.000 0.500 0.000 (multiplicity 2)
Au1 0.000 0.250 0.500 (multiplicity 4)
Au2 0.250 0.250 0.979 (multiplicity 4)

Output
Mass density ... 11.83 g cm⁻³
Magnetic moment ... 6.94 μB/cell
Energy relative to the elements ... -4.661 eV per formula unit
Total DFT energy (no corrections) ... -5.37 eV/atom



Entry 7:
The following is a DFT calculation (PBE-GGA) of crystalline Ce2ThAu3 at its relaxed geometry.

Cell lengths 3.672, 3.672, 11.275 Å; angles 90.00, 90.00, 90.00 degrees
Space group P4/mmm (No. 123)
Inequivalent atoms, fractional coordinates:
Ce1 0.000 0.000 0.165 (multiplicity 2)
Th1 0.000 0.000 0.500 (multiplicity 1)
Au1 0.500 0.500 0.000 (multiplicity 1)
Au2 0.500 0.500 0.331 (multiplicity 2)

Output
Mass density ... 12.05 g cm⁻³
Magnetic moment ... 2.18 μB/cell
Energy relative to the elements ... -3.473 eV per formula unit
Total DFT energy (no corrections) ... -5.43 eV/atom



Entry 8:
The following is a DFT calculation (PBE-GGA) of crystalline CeTh3Au7 at its relaxed geometry.

Cell lengths 3.899, 22.743, 12.562 Å; angles 90.00, 90.00, 90.00 degrees
Space group Cmcm (No. 63)
Inequivalent atoms, fractional coordinates:
Ce1 0.000 0.010 0.250 (multiplicity 4)
Th1 0.000 0.144 0.566 (multiplicity 8)
Th2 0.000 0.198 0.250 (multiplicity 4)
Au1 0.000 0.277 0.570 (multiplicity 8)
Au2 0.000 0.380 0.250 (multiplicity 4)
Au3 0.000 0.399 0.634 (multiplicity 8)
Au4 0.000 0.461 0.078 (multiplicity 8)

Output
Mass density ... 13.21 g cm⁻³
Magnetic moment ... 3.11 μB/cell
Energy relative to the elements ... -6.470 eV per formula unit
Total DFT energy (no corrections) ... -5.24 eV/atom



Entry 9:
The following is a DFT calculation (PBE-GGA) of crystalline CeThTlAu at its relaxed geometry.

Cell lengths 7.627, 7.627, 7.627 Å; angles 90.00, 90.00, 90.00 degrees
Space group F-43m (No. 216)
Inequivalent atoms, fractional coordinates:
Ce1 0.000 0.000 0.000 (multiplicity 4)
Th1 0.000 0.000 0.500 (multiplicity 4)
Tl1 0.250 0.250 0.250 (multiplicity 4)
Au1 0.250 0.250 0.750 (multiplicity 4)

Output
Mass density ... 11.58 g cm⁻³
Magnetic moment ... 8.35 μB/cell
Energy relative to the elements ... -1.198 eV per formula unit
Excess energy over the best structure of this formula in the dataset ... 0.086 eV/atom
Total DFT energy (no corrections) ... -5.05 eV/atom



Entry 10:
The following is a DFT calculation (PBE-GGA) of crystalline CeThTlAu at its relaxed geometry.

Cell lengths 3.473, 3.473, 8.921 Å; angles 90.00, 90.00, 90.00 degrees
Space group P4mm (No. 99)
Inequivalent atoms, fractional coordinates:
Ce1 0.000 0.000 0.000 (multiplicity 1)
Th1 0.000 0.000 0.460 (multiplicity 1)
Tl1 0.500 0.500 0.733 (multiplicity 1)
Au1 0.500 0.500 0.229 (multiplicity 1)

Output
Mass density ... 11.93 g cm⁻³
Magnetic moment ... 1.43 μB/cell
Energy relative to the elements ... -1.542 eV per formula unit
Excess energy over the best structure of this formula in the dataset ... 0.000 eV/atom
Total DFT energy (no corrections) ... -5.13 eV/atom



Entry 11:
The following is a DFT calculation (PBE-GGA) of crystalline CeThZnAu at its relaxed geometry.

Cell lengths 4.515, 3.726, 11.905 Å; angles 90.00, 90.00, 90.00 degrees
Space group Amm2 (No. 38)
Inequivalent atoms, fractional coordinates:
Ce1 0.000 0.000 0.000 (multiplicity 2)
Th1 0.500 0.000 0.310 (multiplicity 2)
Zn1 0.500 0.000 0.584 (multiplicity 2)
Au1 0.000 0.000 0.720 (multiplicity 2)

Output
Mass density ... 10.52 g cm⁻³
Magnetic moment ... 1.65 μB/cell
Energy relative to the elements ... -1.543 eV per formula unit
Excess energy over the best structure of this formula in the dataset ... 0.000 eV/atom
Total DFT energy (no corrections) ... -4.86 eV/atom



Entry 12:
The following is a DFT calculation (PBE-GGA) of crystalline CeThZnAu at its relaxed geometry.

Cell lengths 7.378, 7.378, 7.378 Å; angles 90.00, 90.00, 90.00 degrees
Space group F-43m (No. 216)
Inequivalent atoms, fractional coordinates:
Ce1 0.000 0.000 0.000 (multiplicity 4)
Th1 0.000 0.000 0.500 (multiplicity 4)
Zn1 0.250 0.250 0.750 (multiplicity 4)
Au1 0.250 0.250 0.250 (multiplicity 4)

Output
Mass density ... 10.50 g cm⁻³
Magnetic moment ... 6.97 μB/cell
Energy relative to the elements ... -1.342 eV per formula unit
Excess energy over the best structure of this formula in the dataset ... 0.050 eV/atom
Total DFT energy (no corrections) ... -4.81 eV/atom